1.
VASP calculation (PBE-GGA) on an optimized crystal structure of TbNiGe2Rh2.

Geometry as POSCAR:
```
TbNiGe2Rh2
1.0
4.421 0.000 0.000
0.000 4.421 0.000
0.000 0.000 5.472
Tb Ni Ge Rh
1 1 2 2
Cartesian
0.000 0.000 0.000 Tb
0.000 0.000 2.736 Ni
0.000 2.210 2.736 Ge
2.210 0.000 2.736 Ge
2.210 2.210 1.319 Rh
2.210 2.210 4.153 Rh
```

Crystal system: tetragonal
Space-group type: P4/mmm
Total DFT energy (no corrections), eV per cell: -36.4

***

2.
VASP calculation (PBE-GGA) on an optimized crystal structure of ThNi2Ge2Rh.

Geometry as POSCAR:
```
ThNi2Ge2Rh
1.0
4.167 0.000 0.000
-2.084 3.609 0.000
0.000 0.000 6.577
Th Ni Ge Rh
1 2 2 1
Cartesian
0.000 0.000 0.000 Th
0.000 2.406 4.597 Ni
2.084 1.203 1.981 Ni
0.000 2.406 2.060 Ge
2.084 1.203 4.517 Ge
0.000 0.000 3.289 Rh
```

Crystal system: trigonal
Space-group type: P-3m1
Total DFT energy (no corrections), eV per cell: -39.3

***

3.
VASP calculation (PBE-GGA) on an optimized crystal structure of ThNi2GeRh2.

Geometry as POSCAR:
```
ThNi2GeRh2
1.0
4.481 0.000 0.000
0.000 4.481 0.000
0.000 0.000 5.631
Th Ni Ge Rh
1 2 1 2
Cartesian
0.000 0.000 0.000 Th
2.240 2.240 1.206 Ni
2.240 2.240 4.425 Ni
0.000 0.000 2.816 Ge
0.000 2.240 2.816 Rh
2.240 0.000 2.816 Rh
```

Crystal system: tetragonal
Space-group type: P4/mmm
Total DFT energy (no corrections), eV per cell: -37.5